1.
ScGaAu (PBE-GGA, optimized geometry); crystal system = cubic; ρ = 7.9 g cm⁻³; calculated total energy = -13.4 eV for the cell shown
1.0
-0.357 0.013 4.517
-2.412 3.228 2.073
-3.951 -1.033 1.963
Au Ga Sc
1 1 1
direct
0.250 0.250 0.250
0.750 0.750 0.750
0.000 0.000 0.000

2.
TmAu2 (PBE-GGA, optimized geometry); crystal system = tetragonal; ρ = 15.3 g cm⁻³; calculated total energy = -27.4 eV for the cell shown
1.0
3.678 0.000 0.000
0.000 3.678 0.000
0.000 0.000 9.008
Au Tm
4 2
direct
0.000 0.000 0.335
0.500 0.500 0.165
0.500 0.500 0.836
0.000 0.000 0.664
0.000 0.000 0.000
0.500 0.500 0.500

3.
LiHgPd2 (PBE-GGA, optimized geometry); crystal system = orthorhombic; ρ = 10.0 g cm⁻³; calculated total energy = -53.9 eV for the cell shown
1.0
-1.190 -2.038 3.755
6.813 -4.536 -0.303
3.731 5.331 4.076
Pd Hg Li
8 4 4
direct
0.499 0.417 0.833
0.999 0.917 0.667
0.501 0.583 0.167
0.999 0.583 0.667
0.001 0.417 0.333
0.499 0.083 0.833
0.501 0.917 0.167
0.001 0.083 0.333
0.001 0.750 0.334
0.499 0.750 0.834
0.999 0.250 0.666
0.501 0.250 0.166
0.001 0.250 0.000
0.999 0.750 0.000
0.499 0.250 0.500
0.501 0.750 0.500

4.
TbGd3Pb2C2 (PBE-GGA, optimized geometry); crystal system = trigonal; ρ = 9.3 g cm⁻³; calculated total energy = -48.1 eV for the cell shown
1.0
-1.514 3.336 0.187
-0.506 -2.399 2.728
13.391 5.661 7.466
Pb Gd Tb C
2 3 1 2
direct
0.333 0.667 0.250
0.000 0.000 0.750
0.333 0.667 0.583
0.333 0.667 0.917
0.000 0.000 0.417
0.000 0.000 0.083
0.667 0.333 0.500
0.667 0.333 0.000

5.
Tm5Al (PBE-GGA, optimized geometry); crystal system = hexagonal; ρ = 7.7 g cm⁻³; calculated total energy = -22.8 eV for the cell shown
1.0
-1.138 3.969 4.652
-3.906 -0.333 -4.829
-2.967 -3.986 2.675
Al Tm
1 5
direct
0.000 0.000 0.000
0.333 0.667 0.000
0.667 0.333 0.000
0.000 0.500 0.500
0.500 0.500 0.500
0.500 0.000 0.500

6.
Hg2ClOF (PBE-GGA, optimized geometry); crystal system = orthorhombic; ρ = 7.0 g cm⁻³; calculated total energy = -25.0 eV for the cell shown
1.0
3.037 -6.179 0.000
3.037 6.179 0.000
0.000 0.000 5.925
F Hg O Cl
2 4 2 2
direct
0.750 0.750 0.500
0.250 0.250 0.500
0.084 0.916 0.779
0.416 0.584 0.779
0.916 0.084 0.221
0.584 0.416 0.221
0.750 0.750 0.000
0.250 0.250 0.000
0.750 0.250 0.449
0.250 0.750 0.551

7.
NaInPtPb (PBE-GGA, optimized geometry); energy relative to the lowest polymorph listed for this composition = 162 meV/atom; crystal system = cubic; ρ = 9.8 g cm⁻³; calculated total energy = -14.0 eV for the cell shown
1.0
-4.479 -0.318 -2.330
-3.584 3.449 0.925
-1.245 3.372 -3.560
Pb Pt In Na
1 1 1 1
direct
0.250 0.250 0.250
0.500 0.500 0.500
0.000 0.000 0.000
0.750 0.750 0.750

8.
Nd2Pt8N (PBE-GGA, optimized geometry); crystal system = orthorhombic; ρ = 15.7 g cm⁻³; calculated total energy = -72.4 eV for the cell shown
1.0
4.388 0.000 0.000
0.000 8.229 2.724
0.000 -8.229 2.724
Pt Nd N
8 2 1
direct
0.500 0.800 0.194
0.000 0.927 0.128
0.500 0.194 0.800
0.000 0.609 0.609
0.500 0.937 0.937
0.000 0.500 0.988
0.000 0.988 0.500
0.000 0.128 0.927
0.500 0.613 0.369
0.500 0.369 0.613
0.000 0.248 0.248

9.
Y2ScTc (PBE-GGA, optimized geometry); crystal system = cubic; ρ = 5.9 g cm⁻³; calculated total energy = -28.9 eV for the cell shown
1.0
-2.631 -1.021 4.183
-3.517 3.235 1.621
-4.887 -1.213 -0.327
Y Tc Sc
2 1 1
direct
0.500 0.500 0.500
0.250 0.250 0.250
0.000 0.000 0.000
0.750 0.750 0.750

10.
AcNdPO (PBE-GGA, optimized geometry); energy relative to the lowest polymorph listed for this composition = 310 meV/atom; crystal system = tetragonal; ρ = 7.2 g cm⁻³; calculated total energy = -51.5 eV for the cell shown
1.0
4.627 0.000 0.000
0.000 4.627 0.000
0.000 0.000 8.950
Ac P Nd O
2 2 2 2
direct
0.250 0.750 0.500
0.750 0.250 0.500
0.750 0.750 0.285
0.250 0.250 0.715
0.750 0.750 0.913
0.250 0.250 0.087
0.250 0.750 0.000
0.750 0.250 0.000

11.
Pr2Tm (PBE-GGA, optimized geometry); energy relative to the lowest polymorph listed for this composition = 0 meV/atom; crystal system = cubic; ρ = 7.1 g cm⁻³; calculated total energy = -26.4 eV for the cell shown
1.0
0.000 4.724 4.724
4.724 0.000 4.724
4.724 4.724 0.000
Tm Pr
2 4
direct
0.250 0.250 0.250
0.000 0.000 0.000
0.125 0.625 0.625
0.625 0.625 0.125
0.625 0.625 0.625
0.625 0.125 0.625

12.
ZnCdCuB (PBE-GGA, optimized geometry); energy relative to the lowest polymorph listed for this composition = 34 meV/atom; crystal system = cubic; ρ = 7.4 g cm⁻³; calculated total energy = -9.3 eV for the cell shown
1.0
-3.013 -1.270 2.804
-4.167 0.659 -0.870
-2.556 -3.335 -0.948
Cd Cu B Zn
1 1 1 1
direct
0.500 0.500 0.500
0.250 0.250 0.250
0.000 0.000 0.000
0.750 0.750 0.750

13.
ErP (PBE-GGA, optimized geometry); crystal system = orthorhombic; ρ = 7.3 g cm⁻³; calculated total energy = -47.0 eV for the cell shown
1.0
6.408 0.000 0.000
0.000 5.298 0.000
0.000 0.000 5.345
P Er
4 4
direct
0.750 0.500 0.069
0.250 0.500 0.931
0.750 0.000 0.655
0.250 0.000 0.345
0.250 0.000 0.841
0.000 0.500 0.500
0.750 0.000 0.159
0.500 0.500 0.500

14.
CsPrB (PBE-GGA, optimized geometry); crystal system = cubic; ρ = 5.3 g cm⁻³; calculated total energy = -8.0 eV for the cell shown
1.0
4.111 -2.888 0.177
2.885 -0.015 4.117
0.103 -4.045 2.983
B Pr Cs
1 1 1
direct
0.250 0.250 0.250
0.000 0.000 0.000
0.750 0.750 0.750

15.
ScGaTcNi (PBE-GGA, optimized geometry); energy relative to the lowest polymorph listed for this composition = 0 meV/atom; crystal system = cubic; ρ = 7.6 g cm⁻³; calculated total energy = -26.4 eV for the cell shown
1.0
-2.274 -1.866 3.233
-3.187 -2.843 -0.929
0.536 -4.248 0.880
Ni Sc Ga Tc
1 1 1 1
direct
0.750 0.750 0.750
0.500 0.500 0.500
0.000 0.000 0.000
0.250 0.250 0.250

16.
RbTm2Cu3TeSe4 (PBE-GGA, optimized geometry); crystal system = orthorhombic; ρ = 6.7 g cm⁻³; calculated total energy = -99.1 eV for the cell shown
1.0
2.073 -7.258 0.000
2.073 7.258 0.000
0.000 0.000 17.348
Cu Se Tm Rb Te
6 8 4 2 2
direct
0.350 0.650 0.750
0.650 0.350 0.250
0.414 0.586 0.031
0.586 0.414 0.531
0.586 0.414 0.969
0.414 0.586 0.469
0.168 0.832 0.928
0.832 0.168 0.428
0.440 0.560 0.887
0.832 0.168 0.072
0.560 0.440 0.387
0.440 0.560 0.613
0.560 0.440 0.113
0.168 0.832 0.572
0.811 0.189 0.913
0.189 0.811 0.413
0.811 0.189 0.587
0.189 0.811 0.087
0.050 0.950 0.750
0.950 0.050 0.250
0.251 0.749 0.250
0.749 0.251 0.750

17.
TaFeBPt (PBE-GGA, optimized geometry); energy relative to the lowest polymorph listed for this composition = 0 meV/atom; crystal system = cubic; ρ = 13.6 g cm⁻³; calculated total energy = -31.9 eV for the cell shown
1.0
4.171 -0.677 -0.417
1.464 -3.945 -0.575
1.600 -1.144 -3.764
Ta B Pt Fe
1 1 1 1
direct
0.250 0.250 0.250
0.000 0.000 0.000
0.500 0.500 0.500
0.750 0.750 0.750

18.
Si5AgIr3 (PBE-GGA, optimized geometry); crystal system = hexagonal; ρ = 9.0 g cm⁻³; calculated total energy = -56.6 eV for the cell shown
1.0
5.385 0.000 0.000
-2.692 4.663 0.000
0.000 0.000 6.066
Ir Si Ag
3 5 1
direct
0.000 0.500 0.500
0.500 0.500 0.500
0.500 0.000 0.500
0.667 0.333 0.810
0.667 0.333 0.190
0.333 0.667 0.190
0.333 0.667 0.810
0.000 0.000 0.500
0.000 0.000 0.000

19.
NdInNO (PBE-GGA, optimized geometry); energy relative to the lowest polymorph listed for this composition = 99 meV/atom; crystal system = tetragonal; ρ = 7.0 g cm⁻³; calculated total energy = -50.4 eV for the cell shown
1.0
-3.155 2.581 -0.333
-1.312 -1.125 3.706
4.514 5.958 3.407
N O In Nd
2 2 2 2
direct
0.750 0.750 0.351
0.250 0.250 0.649
0.250 0.750 0.000
0.750 0.250 0.000
0.750 0.250 0.500
0.250 0.750 0.500
0.250 0.250 0.137
0.750 0.750 0.863

20.
DyHfPbC (PBE-GGA, optimized geometry); energy relative to the lowest polymorph listed for this composition = 0 meV/atom; crystal system = hexagonal; ρ = 11.5 g cm⁻³; calculated total energy = -59.7 eV for the cell shown
1.0
3.473 0.000 0.000
-1.736 3.007 0.000
0.000 0.000 15.490
Pb Hf C Dy
2 2 2 2
direct
0.667 0.333 0.242
0.333 0.667 0.742
0.667 0.333 0.581
0.333 0.667 0.081
0.000 0.000 0.511
0.000 0.000 0.011
0.667 0.333 0.916
0.333 0.667 0.416

21.
Sr2GaPt (PBE-GGA, optimized geometry); crystal system = orthorhombic; ρ = 6.4 g cm⁻³; calculated total energy = -29.4 eV for the cell shown
1.0
6.192 1.225 -1.837
-6.326 1.447 -1.054
0.514 6.821 6.280
Sr Pt Ga
4 2 2
direct
0.130 0.870 0.065
0.130 0.870 0.435
0.870 0.130 0.565
0.870 0.130 0.935
0.217 0.783 0.750
0.783 0.217 0.250
0.590 0.410 0.750
0.410 0.590 0.250

22.
Hf5GaSn3 (PBE-GGA, optimized geometry); crystal system = hexagonal; ρ = 11.6 g cm⁻³; calculated total energy = -138.3 eV for the cell shown
1.0
-2.277 -6.547 -5.156
6.554 -0.949 5.547
-3.713 -1.907 4.061
Sn Hf Ga
6 10 2
direct
0.000 0.612 0.250
0.388 0.388 0.250
0.612 0.612 0.750
0.000 0.388 0.750
0.612 0.000 0.250
0.388 0.000 0.750
0.667 0.333 0.000
0.267 0.000 0.250
0.667 0.333 0.500
0.267 0.267 0.750
0.733 0.000 0.750
0.000 0.267 0.250
0.000 0.733 0.750
0.333 0.667 0.500
0.733 0.733 0.250
0.333 0.667 0.000
0.000 0.000 0.500
0.000 0.000 0.000

23.
Tm4InSbC2 (PBE-GGA, optimized geometry); crystal system = hexagonal; ρ = 9.0 g cm⁻³; calculated total energy = -47.7 eV for the cell shown
1.0
-1.375 2.818 1.710
-1.970 -2.943 -0.464
5.246 -5.642 13.516
Tm Sb In C
4 1 1 2
direct
0.000 0.000 0.340
0.000 0.000 0.660
0.667 0.333 0.828
0.667 0.333 0.172
0.667 0.333 0.500
0.000 0.000 0.000
0.333 0.667 0.742
0.333 0.667 0.258

24.
YZnGe (PBE-GGA, optimized geometry); crystal system = cubic; ρ = 5.6 g cm⁻³; calculated total energy = -13.5 eV for the cell shown
1.0
0.000 3.225 3.225
3.225 0.000 3.225
3.225 3.225 0.000
Y Zn Ge
1 1 1
direct
0.250 0.250 0.250
0.750 0.750 0.750
0.000 0.000 0.000

25.
SmTeAs (PBE-GGA, optimized geometry); crystal system = hexagonal; ρ = 7.4 g cm⁻³; calculated total energy = -29.6 eV for the cell shown
1.0
5.481 0.000 0.000
-2.741 4.747 0.000
0.000 0.000 6.091
As Sm Te
2 2 2
direct
0.000 0.000 0.500
0.000 0.000 0.000
0.667 0.333 0.250
0.333 0.667 0.750
0.667 0.333 0.750
0.333 0.667 0.250